(1)
# PBE-GGA Ce3Np2S8, optimized geometry
# - Formation energy (no corrections): -1.62 eV per atom
# - Volume: 23.394 A^3/atom
data_Ce3Np2S8
_cell_length_a 8.273
_cell_length_b 8.273
_cell_length_c 4.690
_cell_angle_alpha 90.00
_cell_angle_beta 90.00
_cell_angle_gamma 108.66
_space_group_name_H-M_alt 'P 1'
_space_group_IT_number 1
loop_
_space_group_symop_operation_xyz
'x,y,z'
loop_
_atom_site_label
_atom_site_fract_x
_atom_site_fract_y
_atom_site_fract_z
Ce1 0.000 0.000 0.000
Ce2 0.280 0.280 0.500
Ce3 0.720 0.720 0.500
Np1 0.263 0.737 0.000
Np2 0.737 0.263 0.000
S1 0.117 0.368 0.000
S2 0.122 0.878 0.500
S3 0.368 0.117 0.000
S4 0.370 0.630 0.500
S5 0.630 0.370 0.500
S6 0.632 0.883 0.000
S7 0.878 0.122 0.500
S8 0.883 0.632 0.000

=====

(2)
# PBE-GGA Ce5Np2S12, optimized geometry
# - Formation energy (no corrections): -1.72 eV per atom
# - Volume: 26.029 A^3/atom
data_Ce5Np2S12
_cell_length_a 8.605
_cell_length_b 8.605
_cell_length_c 9.008
_cell_angle_alpha 105.51
_cell_angle_beta 105.51
_cell_angle_gamma 50.93
_space_group_name_H-M_alt 'P 1'
_space_group_IT_number 1
loop_
_space_group_symop_operation_xyz
'x,y,z'
loop_
_atom_site_label
_atom_site_fract_x
_atom_site_fract_y
_atom_site_fract_z
Ce1 0.000 0.000 0.000
Ce2 0.298 0.298 0.141
Ce3 0.312 0.312 0.668
Ce4 0.688 0.688 0.332
Ce5 0.702 0.702 0.859
Np1 0.255 0.745 0.500
Np2 0.745 0.255 0.500
S1 0.011 0.011 0.306
S2 0.093 0.553 0.405
S3 0.100 0.598 0.934
S4 0.402 0.900 0.066
S5 0.447 0.907 0.595
S6 0.498 0.498 0.278
S7 0.502 0.502 0.722
S8 0.553 0.093 0.405
S9 0.598 0.100 0.934
S10 0.900 0.402 0.066
S11 0.907 0.447 0.595
S12 0.989 0.989 0.694

=====

(3)
# PBE-GGA Ce2Np3S8, optimized geometry
# - Formation energy (no corrections): -1.50 eV per atom
# - Volume: 23.275 A^3/atom
data_Ce2Np3S8
_cell_length_a 8.281
_cell_length_b 8.281
_cell_length_c 4.665
_cell_angle_alpha 90.00
_cell_angle_beta 90.00
_cell_angle_gamma 108.95
_space_group_name_H-M_alt 'P 1'
_space_group_IT_number 1
loop_
_space_group_symop_operation_xyz
'x,y,z'
loop_
_atom_site_label
_atom_site_fract_x
_atom_site_fract_y
_atom_site_fract_z
Ce1 0.237 0.763 0.000
Ce2 0.763 0.237 0.000
Np1 0.221 0.221 0.500
Np2 0.500 0.500 0.000
Np3 0.779 0.779 0.500
S1 0.124 0.876 0.500
S2 0.140 0.380 0.000
S3 0.380 0.140 0.000
S4 0.383 0.617 0.500
S5 0.617 0.383 0.500
S6 0.620 0.860 0.000
S7 0.860 0.620 0.000
S8 0.876 0.124 0.500

=====

(4)
# PBE-GGA CeNp6S8, optimized geometry
# - Formation energy (no corrections): -1.45 eV per atom
# - Volume: 22.702 A^3/atom
data_CeNp6S8
_cell_length_a 7.838
_cell_length_b 7.838
_cell_length_c 7.838
_cell_angle_alpha 60.00
_cell_angle_beta 60.00
_cell_angle_gamma 60.00
_space_group_name_H-M_alt 'P 1'
_space_group_IT_number 1
loop_
_space_group_symop_operation_xyz
'x,y,z'
loop_
_atom_site_label
_atom_site_fract_x
_atom_site_fract_y
_atom_site_fract_z
Ce1 0.000 0.000 0.000
Np1 0.000 0.000 0.500
Np2 0.000 0.500 0.000
Np3 0.000 0.500 0.500
Np4 0.500 0.000 0.000
Np5 0.500 0.000 0.500
Np6 0.500 0.500 0.000
S1 0.250 0.250 0.250
S2 0.255 0.255 0.745
S3 0.255 0.745 0.255
S4 0.255 0.745 0.745
S5 0.745 0.255 0.255
S6 0.745 0.255 0.745
S7 0.745 0.745 0.255
S8 0.750 0.750 0.750

=====

(5)
# PBE-GGA CeNpS3, optimized geometry
# - Formation energy (no corrections): -1.70 eV per atom
# - Offset from the most stable computed form: 38 meV per atom
# - Volume: 22.631 A^3/atom
data_CeNpS3
_cell_length_a 3.985
_cell_length_b 6.569
_cell_length_c 8.644
_cell_angle_alpha 90.00
_cell_angle_beta 90.00
_cell_angle_gamma 90.00
_space_group_name_H-M_alt 'P 1'
_space_group_IT_number 1
loop_
_space_group_symop_operation_xyz
'x,y,z'
loop_
_atom_site_label
_atom_site_fract_x
_atom_site_fract_y
_atom_site_fract_z
Ce1 0.250 0.250 0.153
Ce2 0.750 0.750 0.847
Np1 0.250 0.750 0.401
Np2 0.750 0.250 0.599
S1 0.250 0.518 0.671
S2 0.250 0.750 0.070
S3 0.250 0.982 0.671
S4 0.750 0.018 0.329
S5 0.750 0.250 0.930
S6 0.750 0.482 0.329

=====

(6)
# PBE-GGA CeNpS3, optimized geometry
# - Formation energy (no corrections): -1.74 eV per atom
# - Offset from the most stable computed form: 0 meV per atom
# - Volume: 22.167 A^3/atom
data_CeNpS3
_cell_length_a 7.349
_cell_length_b 3.988
_cell_length_c 15.129
_cell_angle_alpha 90.00
_cell_angle_beta 90.00
_cell_angle_gamma 90.00
_space_group_name_H-M_alt 'P 1'
_space_group_IT_number 1
loop_
_space_group_symop_operation_xyz
'x,y,z'
loop_
_atom_site_label
_atom_site_fract_x
_atom_site_fract_y
_atom_site_fract_z
Ce1 0.127 0.250 0.207
Ce2 0.373 0.750 0.707
Ce3 0.627 0.250 0.293
Ce4 0.873 0.750 0.793
Np1 0.238 0.750 0.460
Np2 0.262 0.250 0.960
Np3 0.738 0.750 0.040
Np4 0.762 0.250 0.540
S1 0.011 0.250 0.396
S2 0.128 0.750 0.067
S3 0.156 0.250 0.782
S4 0.344 0.750 0.282
S5 0.372 0.250 0.567
S6 0.489 0.750 0.896
S7 0.511 0.250 0.104
S8 0.628 0.750 0.433
S9 0.656 0.250 0.718
S10 0.844 0.750 0.218
S11 0.872 0.250 0.933
S12 0.989 0.750 0.604

=====

Which of these has the lowest formation energy (no corrections)? number 6

=====

The lowest formation energy (no corrections) belongs to which entry? number 6

=====

Which formula does entry 3 have? Ce2Np3S8